No. 1
! PBE+U HfFe3O, optimized geometry; values from VASP
! magnetization	9.35	μB/f.u.
! E	-31.199	eV/cell
! density of states at the Fermi level	0.939	states/eV per atom
&SYSTEM
  ibrav = 0, nat = 5, ntyp = 3
/
ATOMIC_SPECIES
Hf 178.49 Hf.upf
Fe 55.84 Fe.upf
O 16.00 O.upf
ATOMIC_POSITIONS angstrom
Hf 0.000 0.000 0.000
Fe 0.000 2.128 2.128
Fe 2.128 0.000 2.128
Fe 2.128 2.128 0.000
O 2.128 2.128 2.128
CELL_PARAMETERS angstrom
4.256 0.000 0.000
0.000 4.256 0.000
0.000 0.000 4.256


No. 2
! PBE+U HfFe3O, optimized geometry; values from VASP
! magnetization	10.02	μB/f.u.
! E	-20.072	eV/cell
! density of states at the Fermi level	1.526	states/eV per atom
&SYSTEM
  ibrav = 0, nat = 5, ntyp = 3
/
ATOMIC_SPECIES
Hf 178.49 Hf.upf
Fe 55.84 Fe.upf
O 16.00 O.upf
ATOMIC_POSITIONS angstrom
Hf 0.000 0.000 0.000
Fe 0.000 0.000 2.493
Fe 0.000 2.493 0.000
Fe 2.493 0.000 0.000
O 2.493 2.493 2.493
CELL_PARAMETERS angstrom
4.986 0.000 0.000
0.000 4.986 0.000
0.000 0.000 4.986


No. 3
! PBE+U HfPaFe2O8, optimized geometry; values from VASP
! magnetization	8.99	μB/f.u.
! E	-99.178	eV/cell
! density of states at the Fermi level	0.414	states/eV per atom
&SYSTEM
  ibrav = 0, nat = 12, ntyp = 4
/
ATOMIC_SPECIES
Hf 178.49 Hf.upf
Pa 231.04 Pa.upf
Fe 55.84 Fe.upf
O 16.00 O.upf
ATOMIC_POSITIONS angstrom
Hf 0.000 0.000 0.000
Pa 0.000 3.433 1.653
Fe 3.433 0.000 1.653
Fe 0.000 0.000 3.307
O 2.094 0.000 0.368
O 4.772 0.000 0.368
O 3.433 2.171 -1.364
O 3.433 -1.339 2.939
O 0.000 1.261 1.942
O 3.433 1.339 2.939
O 2.171 3.433 1.364
O 1.261 0.000 4.671
CELL_PARAMETERS angstrom
-3.433 3.433 3.307
3.433 -3.433 3.307
3.433 3.433 -3.307


No. 4
! PBE+U HfFe2PbO6, optimized geometry; values from VASP
! magnetization	5.98	μB/f.u.
! E	-72.169	eV/cell
! density of states at the Fermi level	0.000	states/eV per atom
&SYSTEM
  ibrav = 0, nat = 10, ntyp = 4
/
ATOMIC_SPECIES
Hf 178.49 Hf.upf
Fe 55.84 Fe.upf
Pb 207.20 Pb.upf
O 16.00 O.upf
ATOMIC_POSITIONS angstrom
Hf 0.000 0.000 0.000
Fe 0.010 3.130 0.471
Fe 0.008 -0.005 2.999
Pb 2.710 1.561 1.939
O -3.418 3.107 4.021
O -1.568 3.667 1.491
O 0.306 1.465 1.506
O -0.998 1.417 4.024
O 3.975 -0.486 1.506
O 1.737 0.138 4.016
CELL_PARAMETERS angstrom
5.399 0.000 0.000
-2.696 4.694 0.000
-2.691 -1.570 4.737


No. 5
! PBE+U Hf2FePdO, optimized geometry; values from VASP
! magnetization	2.78	μB/f.u.
! E	-40.149	eV/cell
! density of states at the Fermi level	0.537	states/eV per atom
&SYSTEM
  ibrav = 0, nat = 5, ntyp = 4
/
ATOMIC_SPECIES
Hf 178.49 Hf.upf
Fe 55.84 Fe.upf
Pd 106.42 Pd.upf
O 16.00 O.upf
ATOMIC_POSITIONS angstrom
Hf 0.000 2.187 0.000
Hf 2.187 0.000 0.000
Fe 0.000 0.000 2.042
Pd 2.187 2.187 2.042
O 0.000 0.000 0.000
CELL_PARAMETERS angstrom
4.375 0.000 0.000
0.000 4.375 0.000
0.000 0.000 4.083


No. 6
! PBE+U HfFe2PdO6, optimized geometry; values from VASP
! magnetization	10.01	μB/f.u.
! E	-73.681	eV/cell
&SYSTEM
  ibrav = 0, nat = 10, ntyp = 4
/
ATOMIC_SPECIES
Hf 178.49 Hf.upf
Fe 55.84 Fe.upf
Pd 106.42 Pd.upf
O 16.00 O.upf
ATOMIC_POSITIONS angstrom
Hf 0.000 0.000 0.000
Fe 2.454 4.468 2.391
Fe 4.797 1.823 2.490
Pd 4.858 4.868 4.432
O 1.449 2.792 2.769
O 3.388 5.969 3.472
O 3.845 3.323 3.516
O 3.365 4.352 0.675
O 4.084 1.734 0.731
O 5.928 5.541 1.805
CELL_PARAMETERS angstrom
4.993 0.000 0.000
0.029 5.359 0.000
2.340 2.169 4.541